1.
A relaxed LiPuZr crystal. Source: OQMD via LeMat-Bulk, functional PBE.

```
3
Lattice="0.000 3.305 3.305 3.305 0.000 3.305 3.305 3.305 0.000" Properties=species:S:1:pos:R:3 pbc="T T T"
Pu 1.653 1.653 1.653
Zr 4.958 4.958 4.958
Li 0.000 0.000 0.000
```

Computed properties:
- ΔE to the lowest computed polymorph (eV/atom) = 0.000

=====

2.
A relaxed RbLiTbS3 crystal. Source: OQMD via LeMat-Bulk, functional PBE.

```
12
Lattice="2.063 -7.040 0.000 2.063 7.040 0.000 0.000 0.000 10.574" Properties=species:S:1:pos:R:3 pbc="T T T"
S 2.063 -0.699 7.930
S 2.063 -5.317 10.013
S 2.063 -5.317 5.848
S 2.063 0.699 2.643
S 2.063 5.317 4.726
S 2.063 5.317 0.561
Rb 2.063 3.683 7.930
Rb 2.063 -3.683 2.643
Tb 2.063 0.000 0.000
Tb 2.063 0.000 5.287
Li 2.063 -6.509 7.930
Li 2.063 6.509 2.643
```

Computed properties:
- electronic total energy (eV/f.u.) = -28.26

=====

3.
A relaxed RbLiTcS3 crystal. Source: OQMD via LeMat-Bulk, functional PBE.

```
24
Lattice="13.181 0.000 0.000 0.000 3.541 0.000 0.000 0.000 10.667" Properties=species:S:1:pos:R:3 pbc="T T T"
Li 10.096 2.656 7.582
Li 9.676 0.885 2.249
Li 3.506 2.656 8.418
Li 3.085 0.885 3.085
Tc 12.903 2.656 4.212
Tc 6.313 2.656 1.122
Tc 0.278 0.885 6.455
Tc 6.868 0.885 9.545
S 8.224 2.656 10.482
S 11.548 0.885 5.149
S 8.576 0.885 7.693
S 1.633 2.656 5.518
S 12.431 2.656 7.836
S 5.841 2.656 8.164
S 0.750 0.885 2.831
S 11.195 2.656 2.360
S 4.957 0.885 0.185
S 7.340 0.885 2.503
S 4.605 2.656 2.974
S 1.986 0.885 8.307
Rb 4.748 0.885 5.731
Rb 8.433 2.656 4.935
Rb 11.338 0.885 10.269
Rb 1.843 2.656 0.398
```

Computed properties:
- electronic total energy (eV/f.u.) = -29.88

=====

4.
A relaxed Rb2LiTaSe6 crystal. Source: OQMD via LeMat-Bulk, functional PBE.

```
20
Lattice="7.900 0.000 0.000 0.000 6.779 0.000 -6.042 0.000 10.237" Properties=species:S:1:pos:R:3 pbc="T T T"
Rb -2.707 3.360 7.563
Rb 4.566 3.419 2.674
Rb 0.314 0.030 2.444
Rb 1.545 6.749 7.793
Se 2.079 1.736 0.052
Se -2.405 6.735 7.697
Se 1.243 3.346 7.658
Se 2.800 5.125 5.066
Se -0.235 1.771 10.125
Se 2.093 5.008 0.112
Se -0.942 1.654 5.170
Se 0.615 3.433 2.579
Se -0.221 5.044 10.185
Se -0.928 5.161 5.231
Se 2.786 1.619 5.006
Se 4.264 0.044 2.540
Ta 3.950 0.000 0.000
Ta 0.929 3.390 5.118
Li 0.000 3.390 0.000
Li -3.021 0.000 5.118
```

Computed properties:
- electronic total energy (eV/f.u.) = -43.21

=====

5.
A relaxed RbLiTcSe3 crystal. Source: OQMD via LeMat-Bulk, functional PBE.

```
24
Lattice="14.416 0.000 0.000 0.000 3.610 0.000 0.000 0.000 10.727" Properties=species:S:1:pos:R:3 pbc="T T T"
Se 2.750 2.708 2.565
Se 11.665 0.903 8.162
Se 8.963 0.903 5.507
Se 7.502 2.708 8.164
Se 9.958 2.708 2.799
Se 6.913 0.903 2.563
Se 4.458 0.903 7.928
Se 12.661 2.708 0.143
Se 14.121 0.903 2.801
Se 5.453 2.708 5.220
Se 1.755 0.903 10.584
Se 0.294 2.708 7.926
Tc 0.490 2.708 1.076
Tc 7.698 2.708 4.288
Tc 13.926 0.903 9.651
Tc 6.718 0.903 6.439
Li 11.665 0.903 2.330
Li 9.959 2.708 7.693
Li 4.457 0.903 3.034
Li 2.751 2.708 8.397
Rb 5.195 2.708 0.025
Rb 9.220 0.903 10.702
Rb 12.403 2.708 5.338
Rb 2.012 0.903 5.389
```

Computed properties:
- electronic total energy (eV/f.u.) = -27.64

=====

6.
A relaxed RbLiWSe3 crystal. Source: OQMD via LeMat-Bulk, functional PBE.

```
12
Lattice="1.978 -7.585 0.000 1.978 7.585 0.000 0.000 0.000 9.943" Properties=species:S:1:pos:R:3 pbc="T T T"
Se 1.978 6.658 7.457
Se 1.978 -1.681 4.583
Se 1.978 1.681 9.554
Se 1.978 1.681 5.360
Se 1.978 -6.658 2.486
Se 1.978 -1.681 0.388
W 0.000 0.000 4.971
W 0.000 0.000 0.000
Li 1.978 -0.471 2.486
Li 1.978 0.471 7.457
Rb 1.978 3.789 2.486
Rb 1.978 -3.789 7.457
```

Computed properties:
- electronic total energy (eV/f.u.) = -30.01

=====

7.
A relaxed RbLiZrSe3 crystal. Source: OQMD via LeMat-Bulk, functional PBE.

```
12
Lattice="-7.792 0.164 -0.735 6.482 -3.034 3.172 -0.595 6.929 7.841" Properties=species:S:1:pos:R:3 pbc="T T T"
Se -6.405 3.563 4.014
Se 4.500 0.496 6.265
Se -1.902 3.941 6.880
Se 4.743 -2.333 3.064
Se -6.648 6.391 7.215
Se -0.003 0.118 3.398
Zr -0.952 2.029 5.139
Zr -0.655 -1.435 1.218
Li -7.688 5.237 5.296
Li 5.783 -1.179 4.982
Rb 2.597 2.933 8.112
Rb -4.501 1.125 2.167
```

Computed properties:
- ΔE to the lowest computed polymorph (eV/atom) = 0.006

=====

8.
A relaxed RbLiZrSe3 crystal. Source: OQMD via LeMat-Bulk, functional PBE.

```
12
Lattice="9.042 0.000 0.000 0.000 4.021 0.000 -3.463 0.000 9.157" Properties=species:S:1:pos:R:3 pbc="T T T"
Se 3.588 3.016 3.229
Se 5.711 1.005 5.754
Se 1.794 1.005 0.530
Se -0.132 3.016 3.403
Se 3.785 3.016 8.628
Se 1.990 1.005 5.929
Li 5.232 1.005 8.222
Li 0.347 3.016 0.935
Rb -0.610 3.016 6.983
Rb 6.189 1.005 2.175
Zr 1.695 1.005 3.150
Zr 3.884 3.016 6.007
```

Computed properties:
- ΔE to the lowest computed polymorph (eV/atom) = 0.001

=====

9.
A relaxed RbLiZrSe3 crystal. Source: OQMD via LeMat-Bulk, functional PBE.

```
24
Lattice="-11.542 8.425 5.810 0.571 -1.696 3.592 6.953 7.761 2.559" Properties=species:S:1:pos:R:3 pbc="T T T"
Se 0.847 1.831 4.092
Se -9.578 8.333 6.575
Se 3.072 4.747 2.874
Se 5.560 6.157 5.386
Se -1.888 8.498 7.674
Se 1.123 8.688 5.044
Se -5.141 5.802 6.918
Se -4.865 12.659 7.869
Se -0.188 11.763 6.703
Se -7.090 9.743 9.087
Se -2.130 5.992 4.288
Se -3.830 2.728 5.258
Li 0.906 -0.441 3.010
Li -4.924 14.931 8.951
Li -2.666 6.225 6.724
Li -1.352 8.265 5.237
Rb 1.009 5.121 5.620
Rb -5.026 9.369 6.341
Rb -1.718 12.732 9.645
Rb -2.300 1.758 2.316
Zr 0.604 9.300 7.656
Zr 2.311 2.275 1.828
Zr -6.329 12.215 10.134
Zr -4.622 5.190 4.305
```

Computed properties:
- ΔE to the lowest computed polymorph (eV/atom) = 0.000

=====

10.
A relaxed RbLiUTe3 crystal. Source: OQMD via LeMat-Bulk, functional PBE.

```
12
Lattice="2.255 -7.943 0.000 2.255 7.943 0.000 0.000 0.000 11.721" Properties=species:S:1:pos:R:3 pbc="T T T"
Li 2.255 -0.628 8.791
Li 2.255 0.628 2.930
U 0.000 0.000 5.861
U 0.000 0.000 0.000
Te 2.255 -7.020 8.791
Te 2.255 -2.023 6.427
Te 2.255 2.023 5.294
Te 2.255 -2.023 11.155
Te 2.255 7.020 2.930
Te 2.255 2.023 0.566
Rb 2.255 3.863 8.791
Rb 2.255 -3.863 2.930
```

Computed properties:
- electronic total energy (eV/f.u.) = -29.03

=====

11.
A relaxed RbLiTh crystal. Source: OQMD via LeMat-Bulk, functional PBE.

```
3
Lattice="-1.256 -5.120 -1.643 -4.038 -0.807 -3.680 1.226 -1.632 -5.131" Properties=species:S:1:pos:R:3 pbc="T T T"
Th -3.051 -5.669 -7.840
Rb -1.017 -1.890 -2.613
Li 0.000 0.000 0.000
```

Computed properties:
- electronic total energy (eV/f.u.) = -6.47

=====

12.
A relaxed RbLiTm crystal. Source: OQMD via LeMat-Bulk, functional PBE.

```
3
Lattice="-0.377 2.471 5.190 -2.020 5.372 0.492 -5.163 0.929 2.379" Properties=species:S:1:pos:R:3 pbc="T T T"
Li -1.890 2.193 2.015
Tm 0.000 0.000 0.000
Rb -5.671 6.579 6.046
```

Computed properties:
- ΔE to the lowest computed polymorph (eV/atom) = 0.000

=====

13.
A relaxed RbLiTm crystal. Source: OQMD via LeMat-Bulk, functional PBE.

```
3
Lattice="-5.610 0.948 0.835 -2.921 3.359 -3.640 -3.869 -2.312 -3.571" Properties=species:S:1:pos:R:3 pbc="T T T"
Tm -9.300 1.496 -4.782
Li -3.100 0.499 -1.594
Rb 0.000 0.000 0.000
```

Computed properties:
- ΔE to the lowest computed polymorph (eV/atom) = 0.140

=====

14.
A relaxed RbLiW crystal. Source: OQMD via LeMat-Bulk, functional PBE.

```
3
Lattice="0.000 3.722 3.722 3.722 0.000 3.722 3.722 3.722 0.000" Properties=species:S:1:pos:R:3 pbc="T T T"
W 5.583 5.583 5.583
Li 0.000 0.000 0.000
Rb 1.861 1.861 1.861
```

Computed properties:
- electronic total energy (eV/f.u.) = -9.43

=====

15.
A relaxed RbLiZn crystal. Source: OQMD via LeMat-Bulk, functional PBE.

```
3
Lattice="0.747 2.334 4.785 -0.551 5.324 0.510 -4.193 2.023 2.688" Properties=species:S:1:pos:R:3 pbc="T T T"
Li 0.000 0.000 0.000
Zn -2.998 7.261 5.988
Rb -0.999 2.420 1.996
```

Computed properties:
- electronic total energy (eV/f.u.) = -3.10

=====

16.
A relaxed Rb4LiZn2 crystal. Source: OQMD via LeMat-Bulk, functional PBE.

```
7
Lattice="-4.613 3.470 2.868 -2.508 -5.391 2.490 4.808 0.856 6.697" Properties=species:S:1:pos:R:3 pbc="T T T"
Li 0.000 0.000 0.000
Rb -0.396 -0.244 3.506
Rb -3.733 -1.144 6.018
Rb -0.741 1.706 7.381
Rb 0.245 -2.447 7.203
Zn -1.254 -2.695 1.245
Zn -2.306 1.735 1.434
```

Computed properties:
- electronic total energy (eV/f.u.) = -6.36

=====

17.
A relaxed LiRe crystal. Source: OQMD via LeMat-Bulk, functional PBE.

```
2
Lattice="0.920 -3.332 -0.909 1.831 -2.038 2.296 -1.589 -2.786 1.577" Properties=species:S:1:pos:R:3 pbc="T T T"
Li 0.000 0.000 0.000
Re 0.290 -2.039 0.741
```

Computed properties:
- ΔE to the lowest computed polymorph (eV/atom) = 2.896

=====

18.
A relaxed LiRe crystal. Source: OQMD via LeMat-Bulk, functional PBE.

```
2
Lattice="0.000 2.299 2.299 2.299 0.000 2.299 2.299 2.299 0.000" Properties=species:S:1:pos:R:3 pbc="T T T"
Li 0.000 0.000 0.000
Re 2.299 2.299 2.299
```

Computed properties:
- ΔE to the lowest computed polymorph (eV/atom) = 1.247

=====

19.
A relaxed LiTlReS3 crystal. Source: OQMD via LeMat-Bulk, functional PBE.

```
12
Lattice="-3.979 5.855 1.160 3.672 -5.684 2.381 7.792 5.212 0.424" Properties=species:S:1:pos:R:3 pbc="T T T"
Tl 3.566 -1.284 2.159
Tl 3.919 6.667 1.806
S 4.873 1.493 2.139
S 9.094 -1.138 2.632
S -0.819 1.595 1.640
S 2.613 3.890 1.827
S -1.608 6.521 1.333
S 8.305 3.788 2.325
Re 0.000 0.000 0.000
Re 3.896 2.606 0.212
Li 1.409 1.971 1.815
Li 6.077 3.412 2.150
```

Computed properties:
- electronic total energy (eV/f.u.) = -31.53

=====

20.
A relaxed LiScReTc crystal. Source: OQMD via LeMat-Bulk, functional PBE.

```
4
Lattice="0.000 3.115 3.115 3.115 0.000 3.115 3.115 3.115 0.000" Properties=species:S:1:pos:R:3 pbc="T T T"
Re 0.000 0.000 0.000
Li 4.673 4.673 4.673
Tc 1.558 1.558 1.558
Sc 3.115 3.115 3.115
```

Computed properties:
- ΔE to the lowest computed polymorph (eV/atom) = 0.005